# Ca2CoCCl

Crystalline Ca2CoCCl at its relaxed geometry (GGA-PBE, Alexandria).

abc: 5.1477 5.1477 3.5978
angles: 90.00 90.00 90.00
With the nearest neighbours (Å) after each atom.
Fractional positions:
Ca 0.0000 0.5000 0.0000  2 C 2.57
Ca 0.5000 0.0000 0.0000  2 C 2.57
Co 0.0000 0.0000 0.5000  2 C 1.80
C 0.0000 0.0000 0.0000  2 Co 1.80
Cl 0.5000 0.5000 0.5000  8 Ca 3.14

**Calculated volume**: 95 Å³/f.u.
**Electronic total energy**: -5.08 eV/atom
**ΔE_f (raw)**: -641.1 meV per atom

# Tl6Hg2Au

Crystalline Tl6Hg2Au at its relaxed geometry (GGA-PBE, Alexandria).

abc: 3.7632 8.9317 8.9317
angles: 120.16 90.00 90.00
With the nearest neighbours (Å) after each atom.
Fractional positions:
Tl 0.0000 0.0000 0.0000  2 Au 3.03, 2 Hg 3.31
Tl 0.0000 0.4659 0.7316  2 Au 3.04, 2 Hg 3.31-3.32
Tl 0.0000 0.7316 0.4659  2 Au 3.04, 2 Hg 3.31-3.32
Tl 0.5000 0.1156 0.7314  4 Hg 3.35, 1 Au 3.42, 6 Tl 3.57-3.65
Tl 0.5000 0.3485 0.3485  4 Hg 3.36, 1 Au 3.43, 8 Tl 3.57-3.76
Tl 0.5000 0.7314 0.1156  4 Hg 3.35, 1 Au 3.42, 6 Tl 3.57-3.65
Hg 0.0000 0.0646 0.3985  9 Tl 3.31-3.36
Hg 0.0000 0.3985 0.0646  9 Tl 3.31-3.36
Au 0.5000 0.7338 0.7338  6 Tl 3.03-3.04

**Calculated volume**: 260 Å³/f.u.
**Energy relative to the elements**: -0.01 eV per atom
**Electronic total energy**: -2.02 eV/atom

# TmZrCdCu

Crystalline TmZrCdCu at its relaxed geometry (GGA-PBE, Alexandria).

abc: 4.9372 4.9372 4.9372
angles: 60.00 60.00 60.00
With the nearest neighbours (Å) after each atom.
Fractional positions:
Tm 0.0000 0.0000 0.0000  4 Cd 3.02, 4 Cu 3.02
Zr 0.5000 0.5000 0.5000  4 Cd 3.02, 4 Cu 3.02
Cd 0.2500 0.2500 0.2500  4 Zr 3.02, 4 Tm 3.02
Cu 0.7500 0.7500 0.7500  4 Tm 3.02, 4 Zr 3.02

**Calculated volume**: 85 Å³/f.u.
**Energy relative to the elements**: -0.08 eV per atom
**Electronic total energy**: -4.59 eV/atom

# CuGePSe

Crystalline CuGePSe at its relaxed geometry (GGA-PBE, Alexandria).

abc: 6.7810 6.7810 6.7810
angles: 33.46 33.46 33.46
With the nearest neighbours (Å) after each atom.
Fractional positions:
Cu 0.0000 0.0000 0.0000  1 P 2.24, 3 Se 2.39
Ge 0.5006 0.5006 0.5006  1 Se 2.41, 3 P 2.45
P 0.8834 0.8834 0.8834  1 Cu 2.24, 3 Ge 2.45
Se 0.3750 0.3750 0.3750  3 Cu 2.39, 1 Ge 2.41

**Calculated volume**: 84 Å³/f.u.
**Electronic total energy**: -4.55 eV/atom
**ΔE_f (raw)**: -152.9 meV per atom

# CoGeAs2Ir

Crystalline CoGeAs2Ir at its relaxed geometry (GGA-PBE, Alexandria).

abc: 4.8541 4.8541 4.7373
angles: 90.00 90.00 90.00
With the nearest neighbours (Å) after each atom.
Fractional positions:
Co 0.0000 0.0000 0.0000  8 As 3.39, 4 Ge 3.43
Ge 0.5000 0.5000 0.0000  2 Ir 2.37
As 0.0000 0.5000 0.5000  2 Ir 2.43
As 0.5000 0.0000 0.5000  2 Ir 2.43
Ir 0.5000 0.5000 0.5000  2 Ge 2.37, 4 As 2.43

**Calculated volume**: 112 Å³/f.u.
**Energy relative to the elements**: 0.96 eV per atom
**Electronic total energy**: -5.01 eV/atom

# TlFeTeW

Crystalline TlFeTeW at its relaxed geometry (GGA-PBE, Alexandria).

abc: 3.1957 3.1961 10.2783
angles: 82.11 81.86 60.13
With the nearest neighbours (Å) after each atom.
Fractional positions:
Tl 0.0000 0.0000 0.0000  6 Tl 3.20, 3 W 3.25-3.26
Fe 0.1276 0.1135 0.5914  3 W 2.36
Te 0.8559 0.8375 0.3910  3 Fe 2.75
W 0.4157 0.4063 0.7359  3 Fe 2.36

**Calculated volume**: 90 Å³/f.u.
**Distance to the lowest polymorph of the same formula**: 185 meV/atom
**Electronic total energy**: -6.15 eV/atom
**ΔE_f (raw)**: 579.8 meV per atom

# Pr3GaNi8

Crystalline Pr3GaNi8 at its relaxed geometry (GGA-PBE, Alexandria).

abc: 8.8218 8.8218 8.8218
angles: 33.70 33.70 33.70
With the nearest neighbours (Å) after each atom.
Fractional positions:
Pr 0.0000 0.0000 0.0000  12 Ni 3.00-3.05, 4 Pr 3.22-3.25
Pr 0.1292 0.1292 0.1292  12 Ni 2.84-3.05, 3 Ga 3.01
Pr 0.6122 0.6122 0.6122  9 Ni 2.88-3.06, 1 Ga 3.14
Ga 0.4864 0.4864 0.4864  6 Ni 2.68-2.96
Ni 0.0577 0.0577 0.5627  6 Ni 2.49-2.60
Ni 0.0577 0.5627 0.0577  6 Ni 2.49-2.60
Ni 0.0650 0.5619 0.5619  6 Ni 2.53-2.58, 1 Ga 2.68
Ni 0.3112 0.3112 0.3112  6 Ni 2.58-2.60
Ni 0.5619 0.0650 0.5619  6 Ni 2.53-2.58, 1 Ga 2.68
Ni 0.5619 0.5619 0.0650  6 Ni 2.53-2.58, 1 Ga 2.68
Ni 0.5627 0.0577 0.0577  6 Ni 2.49-2.60
Ni 0.8117 0.8117 0.8117  6 Ni 2.49-2.53

**Calculated volume**: 188 Å³/f.u.
**Energy relative to the elements**: -0.30 eV per atom
**Electronic total energy**: -5.60 eV/atom

# EuThTlAu

Crystalline EuThTlAu at its relaxed geometry (GGA-PBE, Alexandria).

abc: 5.4140 5.4140 5.4140
angles: 60.00 60.00 60.00
With the nearest neighbours (Å) after each atom.
Fractional positions:
Eu 0.0000 0.0000 0.0000  4 Tl 3.32, 4 Au 3.32
Th 0.5000 0.5000 0.5000  4 Tl 3.32, 4 Au 3.32
Tl 0.7500 0.7500 0.7500  4 Eu 3.32, 4 Th 3.32
Au 0.2500 0.2500 0.2500  4 Th 3.32, 4 Eu 3.32

**Calculated volume**: 112 Å³/f.u.
**Energy relative to the elements**: -0.39 eV per atom
**Electronic total energy**: -6.22 eV/atom

# AsOsSe2Br

Crystalline AsOsSe2Br at its relaxed geometry (GGA-PBE, Alexandria).

abc: 4.8253 4.8253 5.0656
angles: 90.00 90.00 90.00
With the nearest neighbours (Å) after each atom.
Fractional positions:
As 0.0000 0.0000 0.0000  4 Br 3.41, 8 Se 3.50
Os 0.5000 0.5000 0.5000  4 Se 2.41, 2 Br 2.53
Se 0.0000 0.5000 0.5000  2 Os 2.41
Se 0.5000 0.0000 0.5000  2 Os 2.41
Br 0.5000 0.5000 0.0000  2 Os 2.53

**Calculated volume**: 118 Å³/f.u.
**Distance to the lowest polymorph of the same formula**: 193 meV/atom
**Electronic total energy**: -4.15 eV/atom
**ΔE_f (raw)**: 754.4 meV per atom

# BeTeI3

Crystalline BeTeI3 at its relaxed geometry (GGA-PBE, Alexandria).

abc: 6.0492 6.0492 6.0492
angles: 90.00 90.00 90.00
With the nearest neighbours (Å) after each atom.
Fractional positions:
Be 0.0000 0.0000 0.0000  12 I 4.28
Te 0.5000 0.5000 0.5000  6 I 3.02
I 0.0000 0.5000 0.5000  2 Te 3.02
I 0.5000 0.0000 0.5000  2 Te 3.02
I 0.5000 0.5000 0.0000  2 Te 3.02

**Calculated volume**: 221 Å³/f.u.
**Distance to the lowest polymorph of the same formula**: 360 meV/atom
**Electronic total energy**: -1.66 eV/atom
**ΔE_f (raw)**: 643.6 meV per atom

# Cs2Pa2PbS7

Crystalline Cs2Pa2PbS7 at its relaxed geometry (GGA-PBE, Alexandria).

abc: 5.2913 5.2913 14.3373
angles: 100.59 100.59 90.01
With the nearest neighbours (Å) after each atom.
Fractional positions:
Cs 0.1855 0.1855 0.3713  9 S 3.62-3.94
Cs 0.8145 0.8145 0.6287  9 S 3.62-3.94
Pa 0.4063 0.4063 0.8134  6 S 2.50-2.67
Pa 0.5937 0.5937 0.1866  6 S 2.50-2.67
Pb 0.0000 0.0000 0.0000  12 S 3.45-3.74
S 0.0811 0.5824 0.1613  2 Pa 2.67
S 0.3167 0.3167 0.6328  1 Pa 2.50
S 0.4176 0.9189 0.8387  2 Pa 2.67
S 0.5000 0.5000 0.0000  2 Pa 2.58
S 0.5824 0.0811 0.1613  2 Pa 2.67
S 0.6833 0.6833 0.3672  1 Pa 2.50
S 0.9189 0.4176 0.8387  2 Pa 2.67

**Calculated volume**: 388 Å³/f.u.
**Electronic total energy**: -5.75 eV/atom
**ΔE_f (raw)**: -1310.3 meV per atom

# K3Mg5H12

Crystalline K3Mg5H12 at its relaxed geometry (GGA-PBE, Alexandria).

abc: 11.3899 11.3899 11.3899
angles: 109.47 109.47 109.47
With the nearest neighbours (Å) after each atom.
Fractional positions:
K 0.1250 0.2500 0.3750  8 H 2.61-2.79
K 0.1250 0.3750 0.7500  8 H 2.61-2.79
K 0.2500 0.3750 0.1250  8 H 2.61-2.79
K 0.2500 0.8750 0.6250  8 H 2.61-2.79
K 0.3750 0.1250 0.2500  8 H 2.61-2.79
K 0.3750 0.7500 0.1250  8 H 2.61-2.79
K 0.6250 0.2500 0.8750  8 H 2.61-2.79
K 0.6250 0.8750 0.7500  8 H 2.61-2.79
K 0.7500 0.1250 0.3750  8 H 2.61-2.79
K 0.7500 0.6250 0.8750  8 H 2.61-2.79
K 0.8750 0.6250 0.2500  8 H 2.61-2.79
K 0.8750 0.7500 0.6250  8 H 2.61-2.79
Mg 0.0000 0.0000 0.0000  6 H 2.02
Mg 0.0000 0.0000 0.5000  6 H 2.02
Mg 0.0000 0.5000 0.0000  6 H 2.02
Mg 0.0000 0.5000 0.5000  6 H 2.02
Mg 0.1250 0.7500 0.8750  4 H 1.90
Mg 0.1250 0.8750 0.2500  4 H 1.90
Mg 0.2500 0.1250 0.8750  4 H 1.90
Mg 0.2500 0.6250 0.3750  4 H 1.90
Mg 0.3750 0.2500 0.6250  4 H 1.90
Mg 0.3750 0.6250 0.7500  4 H 1.90
Mg 0.5000 0.0000 0.0000  6 H 2.02
Mg 0.5000 0.0000 0.5000  6 H 2.02
Mg 0.5000 0.5000 0.0000  6 H 2.02
Mg 0.5000 0.5000 0.5000  6 H 2.02
Mg 0.6250 0.3750 0.2500  4 H 1.90
Mg 0.6250 0.7500 0.3750  4 H 1.90
Mg 0.7500 0.3750 0.6250  4 H 1.90
Mg 0.7500 0.8750 0.1250  4 H 1.90
Mg 0.8750 0.1250 0.7500  4 H 1.90
Mg 0.8750 0.2500 0.1250  4 H 1.90
H 0.0050 0.1854 0.1060  2 Mg 1.90-2.02
H 0.0050 0.3196 0.8990  2 Mg 1.90-2.02
H 0.0794 0.6854 0.6804  2 Mg 1.90-2.02
H 0.0794 0.8940 0.3990  2 Mg 1.90-2.02
H 0.1010 0.6060 0.4206  2 Mg 1.90-2.02
H 0.1010 0.9950 0.6804  2 Mg 1.90-2.02
H 0.1060 0.0050 0.1854  2 Mg 1.90-2.02
H 0.1060 0.6010 0.9206  2 Mg 1.90-2.02
H 0.1804 0.1854 0.5794  2 Mg 1.90-2.02
H 0.1804 0.4950 0.6010  2 Mg 1.90-2.02
H 0.1854 0.1060 0.0050  2 Mg 1.90-2.02
H 0.1854 0.5794 0.1804  2 Mg 1.90-2.02
H 0.3146 0.3196 0.9206  2 Mg 1.90-2.02
H 0.3146 0.4950 0.3940  2 Mg 1.90-2.02
H 0.3196 0.8990 0.0050  2 Mg 1.90-2.02
H 0.3196 0.9206 0.3146  2 Mg 1.90-2.02
H 0.3940 0.3146 0.4950  2 Mg 1.90-2.02
H 0.3940 0.5794 0.8990  2 Mg 1.90-2.02
H 0.3990 0.0794 0.8940  2 Mg 1.90-2.02
H 0.3990 0.8196 0.5050  2 Mg 1.90-2.02
H 0.4206 0.1010 0.6060  2 Mg 1.90-2.02
H 0.4206 0.8196 0.8146  2 Mg 1.90-2.02
H 0.4950 0.3940 0.3146  2 Mg 1.90-2.02
H 0.4950 0.6010 0.1804  2 Mg 1.90-2.02
H 0.5050 0.3990 0.8196  2 Mg 1.90-2.02
H 0.5050 0.6060 0.6854  2 Mg 1.90-2.02
H 0.5794 0.1804 0.1854  2 Mg 1.90-2.02
H 0.5794 0.8990 0.3940  2 Mg 1.90-2.02
H 0.6010 0.1804 0.4950  2 Mg 1.90-2.02
H 0.6010 0.9206 0.1060  2 Mg 1.90-2.02
H 0.6060 0.4206 0.1010  2 Mg 1.90-2.02
H 0.6060 0.6854 0.5050  2 Mg 1.90-2.02
H 0.6804 0.0794 0.6854  2 Mg 1.90-2.02
H 0.6804 0.1010 0.9950  2 Mg 1.90-2.02
H 0.6854 0.5050 0.6060  2 Mg 1.90-2.02
H 0.6854 0.6804 0.0794  2 Mg 1.90-2.02
H 0.8146 0.4206 0.8196  2 Mg 1.90-2.02
H 0.8146 0.8940 0.9950  2 Mg 1.90-2.02
H 0.8196 0.5050 0.3990  2 Mg 1.90-2.02
H 0.8196 0.8146 0.4206  2 Mg 1.90-2.02
H 0.8940 0.3990 0.0794  2 Mg 1.90-2.02
H 0.8940 0.9950 0.8146  2 Mg 1.90-2.02
H 0.8990 0.0050 0.3196  2 Mg 1.90-2.02
H 0.8990 0.3940 0.5794  2 Mg 1.90-2.02
H 0.9206 0.1060 0.6010  2 Mg 1.90-2.02
H 0.9206 0.3146 0.3196  2 Mg 1.90-2.02
H 0.9950 0.6804 0.1010  2 Mg 1.90-2.02
H 0.9950 0.8146 0.8940  2 Mg 1.90-2.02

**Calculated volume**: 284 Å³/f.u.
**Electronic total energy**: -2.72 eV/atom